(1)
The following is a PBE calculation of crystalline Sm2Dy3S4 at its relaxed geometry, from the Alexandria database.

The magnetization comes out at 0.5 μB/f.u. For the total energy, the calculation gives -55.63 eV per cell.

abc: 3.9080 3.9080 16.0629
angles: 90.00 90.00 120.00
Last column: nearest neighbours and their distance in Å.
Space group P-3m1 (No. 164)
Inequivalent atoms, fractional coordinates:
Sm 0.3333 0.6667 0.2064 [2 per cell]  6 S 2.81-2.84
Dy 0.0000 0.0000 0.0000 [1 per cell]  6 S 2.76
Dy 0.3333 0.6667 0.5905 [2 per cell]  3 S 2.76
S 0.0000 0.0000 0.3110 [2 per cell]  3 Dy 2.76, 3 Sm 2.81
S 0.3333 0.6667 0.9015 [2 per cell]  3 Dy 2.76, 3 Sm 2.84



(2)
The following is a PBE calculation of crystalline Sr6LiZn5 at its relaxed geometry, from the Alexandria database.

The magnetization comes out at 0.0 μB/f.u. For the formation energy, the calculation gives -0.15 eV/atom.

abc: 5.5869 7.8310 8.8603
angles: 90.00 108.46 90.00
Last column: nearest neighbours and their distance in Å.
Space group P2/m (No. 10)
Inequivalent atoms, fractional coordinates:
Sr 0.0000 0.2404 0.0000 [2 per cell]  6 Zn 3.35-3.37, 2 Li 3.45
Sr 0.3304 0.2460 0.6598 [4 per cell]  7 Zn 3.36-3.50, 1 Li 3.48
Li 0.5000 0.5000 0.0000 [1 per cell]  8 Sr 3.45-3.48, 4 Zn 3.86-3.87
Zn 0.1578 0.5000 0.3171 [2 per cell]  8 Sr 3.35-3.50
Zn 0.1647 0.0000 0.3322 [2 per cell]  8 Sr 3.36-3.40
Zn 0.5000 0.0000 0.0000 [1 per cell]  8 Sr 3.37-3.45